[1]
A relaxed structure of Ho2Tm2Pb2S. Source: Alexandria, functional PBE.

a b c (Å): 8.737 8.737 8.737
angles (deg): 146.49 146.49 48.12
Positions (direct):
Ho (0.000, 0.500, 0.500)
Ho (0.500, 0.000, 0.500)
Tm (0.166, 0.166, 0.000)
Tm (0.834, 0.834, 0.000)
Pb (0.360, 0.360, 0.000)
Pb (0.640, 0.640, 0.000)
S (0.000, 0.000, 0.000)

Results
For the energy relative to the elements, uncorrected, the calculation gives -0.71 eV per atom. As for the calculated volume: 28.92 Å³/atom. As for the theoretical density: 9138 kg/m3. The final energy comes out at -34.6 eV per cell.



[2]
A relaxed structure of Ho4TmPbS8. Source: Alexandria, functional PBE.

a b c (Å): 8.086 8.086 8.086
angles (deg): 60.24 60.24 60.24
Positions (direct):
Ho (0.000, 0.000, 0.000)
Ho (0.377, 0.377, 0.869)
Ho (0.377, 0.869, 0.377)
Ho (0.869, 0.377, 0.377)
Tm (0.377, 0.377, 0.377)
Pb (0.751, 0.751, 0.751)
S (0.133, 0.133, 0.133)
S (0.134, 0.134, 0.601)
S (0.134, 0.601, 0.134)
S (0.168, 0.610, 0.610)
S (0.601, 0.134, 0.134)
S (0.610, 0.168, 0.610)
S (0.610, 0.610, 0.168)
S (0.612, 0.612, 0.612)

Results
For the energy relative to the elements, uncorrected, the calculation gives -1.76 eV per atom. As for the calculated volume: 26.85 Å³/atom. As for the theoretical density: 5710 kg/m3. The final energy comes out at -84.2 eV per cell.



[3]
A relaxed structure of HoTm4PbS8. Source: Alexandria, functional PBE.

a b c (Å): 8.078 8.078 8.078
angles (deg): 59.74 59.74 59.74
Positions (direct):
Ho (0.000, 0.000, 0.000)
Tm (0.000, 0.000, 0.492)
Tm (0.000, 0.492, 0.000)
Tm (0.492, 0.000, 0.000)
Tm (0.623, 0.623, 0.623)
Pb (0.372, 0.372, 0.372)
S (0.226, 0.754, 0.754)
S (0.233, 0.233, 0.233)
S (0.235, 0.235, 0.790)
S (0.235, 0.790, 0.235)
S (0.754, 0.226, 0.754)
S (0.754, 0.754, 0.226)
S (0.756, 0.756, 0.756)
S (0.790, 0.235, 0.235)

Results
For the energy relative to the elements, uncorrected, the calculation gives -1.76 eV per atom. As for the calculated volume: 26.47 Å³/atom. As for the theoretical density: 5845 kg/m3. The final energy comes out at -83.8 eV per cell.



[4]
A relaxed structure of Ho2UPbS8. Source: Alexandria, functional PBE.

a b c (Å): 5.581 6.721 8.297
angles (deg): 90.02 90.11 91.10
Positions (direct):
Ho (0.001, 0.000, 0.269)
Ho (0.999, 0.000, 0.731)
U (0.500, 0.500, 0.500)
Pb (0.500, 0.500, 0.000)
S (0.243, 0.354, 0.276)
S (0.244, 0.353, 0.723)
S (0.255, 0.833, 0.501)
S (0.329, 0.930, 0.000)
S (0.671, 0.070, 0.000)
S (0.745, 0.167, 0.499)
S (0.756, 0.647, 0.277)
S (0.757, 0.646, 0.724)

Results
For the energy relative to the elements, uncorrected, the calculation gives -1.17 eV per atom. As for the calculated volume: 25.93 Å³/atom. As for the theoretical density: 5506 kg/m3. The final energy comes out at -71.2 eV per cell.



Number 1: total magnetic moment 0.000 Bohr magnetons per cell. Number 2: total magnetic moment 0.000 Bohr magnetons per cell. Number 3: total magnetic moment 0.000 Bohr magnetons per cell. Number 4: total magnetic moment 0.000 Bohr magnetons per cell.